A relaxed structure of Ba2GaAgSn6. Source: Alexandria via LeMat-Bulk, functional GGA-PBE.

Lattice parameters (Å, degrees): 7.2914 7.2914 41.0658 90.00 90.00 120.00
Space group R-3m (No. 166, hexagonal axes)
Inequivalent atoms, fractional coordinates:
Ba1 0.0000 0.0000 0.1132 (multiplicity 6)
Ba2 0.0000 0.0000 0.2906 (multiplicity 6)
Ga1 0.0000 0.0000 0.4293 (multiplicity 6)
Ag1 0.0000 0.0000 0.0000 (multiplicity 3)
Ag2 0.0000 0.0000 0.5000 (multiplicity 3)
Sn1 0.0535 0.5268 0.2937 (multiplicity 18)
Sn2 0.0620 0.5310 0.8687 (multiplicity 18)

Results
Energy: -3.6108 eV/atom
Total magnetization: 0.000 μB/f.u.
E_form: -0.24 eV per atom